# 1
The following is a DFT calculation (PBE) of a geometry-optimized CsTiHg2Cl8 structure.

Output
Symmetry: P-1, No. 2
V: 402.3 Å³ per cell
VASP energy: -0.2337 Ry/atom

Geometry as CIF:
```
data_CsTiHg2Cl8
_symmetry_space_group_name_H-M 'P 1'
_symmetry_Int_Tables_number 1
_cell_length_a 6.597
_cell_length_b 7.211
_cell_length_c 8.744
_cell_angle_alpha 76.56
_cell_angle_beta 84.08
_cell_angle_gamma 87.43
loop_
_symmetry_equiv_pos_as_xyz
'x,y,z'
loop_
_atom_site_label
_atom_site_fract_x
_atom_site_fract_y
_atom_site_fract_z
_atom_site_occupancy
Cs1 0.000 0.000 0.000 1
Ti1 0.000 0.500 0.500 1
Hg1 0.478 0.517 0.222 1
Hg2 0.522 0.483 0.778 1
Cl1 0.112 0.532 0.748 1
Cl2 0.200 0.765 0.359 1
Cl3 0.290 0.294 0.459 1
Cl4 0.479 0.240 0.037 1
Cl5 0.521 0.760 0.963 1
Cl6 0.710 0.706 0.541 1
Cl7 0.800 0.235 0.641 1
Cl8 0.888 0.468 0.252 1
```

***

# 2
The following is a DFT calculation (PBE) of a geometry-optimized CsTlHg2Cl8 structure.

Output
Symmetry: P-1, No. 2
V: 430.9 Å³ per cell
VASP energy: -0.1763 Ry/atom

Geometry as CIF:
```
data_CsTlHg2Cl8
_symmetry_space_group_name_H-M 'P 1'
_symmetry_Int_Tables_number 1
_cell_length_a 6.777
_cell_length_b 6.779
_cell_length_c 9.912
_cell_angle_alpha 83.33
_cell_angle_beta 72.30
_cell_angle_gamma 87.85
loop_
_symmetry_equiv_pos_as_xyz
'x,y,z'
loop_
_atom_site_label
_atom_site_fract_x
_atom_site_fract_y
_atom_site_fract_z
_atom_site_occupancy
Cs1 0.000 0.000 0.000 1
Tl1 0.000 0.000 0.500 1
Hg1 0.472 0.485 0.290 1
Hg2 0.528 0.515 0.710 1
Cl1 0.151 0.807 0.673 1
Cl2 0.252 0.340 0.510 1
Cl3 0.280 0.871 0.278 1
Cl4 0.281 0.449 0.933 1
Cl5 0.719 0.551 0.067 1
Cl6 0.720 0.129 0.722 1
Cl7 0.748 0.660 0.490 1
Cl8 0.849 0.193 0.327 1
```

***

# 3
The following is a DFT calculation (PBE) of a geometry-optimized CsTlHgCl4 structure.

Output
Symmetry: P2_1/m, No. 11
V: 523.8 Å³ per cell
VASP energy: -0.1980 Ry/atom

Geometry as CIF:
```
data_CsTlHgCl4
_symmetry_space_group_name_H-M 'P 1'
_symmetry_Int_Tables_number 1
_cell_length_a 7.705
_cell_length_b 7.534
_cell_length_c 9.492
_cell_angle_alpha 90.00
_cell_angle_beta 108.08
_cell_angle_gamma 90.00
loop_
_symmetry_equiv_pos_as_xyz
'x,y,z'
loop_
_atom_site_label
_atom_site_fract_x
_atom_site_fract_y
_atom_site_fract_z
_atom_site_occupancy
Cs1 0.241 0.250 0.444 1
Cs2 0.759 0.750 0.556 1
Tl1 0.291 0.250 0.954 1
Tl2 0.709 0.750 0.046 1
Hg1 0.253 0.750 0.178 1
Hg2 0.747 0.250 0.822 1
Cl1 0.048 0.750 0.916 1
Cl2 0.079 0.750 0.364 1
Cl3 0.487 0.004 0.235 1
Cl4 0.487 0.496 0.235 1
Cl5 0.513 0.504 0.765 1
Cl6 0.513 0.996 0.765 1
Cl7 0.921 0.250 0.636 1
Cl8 0.952 0.250 0.084 1
```

***

# 4
The following is a DFT calculation (PBE) of a geometry-optimized Cs2TlHg2Cl6 structure.

Output
Symmetry: C2/m, No. 12
V: 438.4 Å³ per cell
VASP energy: -0.1871 Ry/atom

Geometry as CIF:
```
data_Cs2TlHg2Cl6
_symmetry_space_group_name_H-M 'P 1'
_symmetry_Int_Tables_number 1
_cell_length_a 7.927
_cell_length_b 7.927
_cell_length_c 9.076
_cell_angle_alpha 114.75
_cell_angle_beta 114.75
_cell_angle_gamma 61.69
loop_
_symmetry_equiv_pos_as_xyz
'x,y,z'
loop_
_atom_site_label
_atom_site_fract_x
_atom_site_fract_y
_atom_site_fract_z
_atom_site_occupancy
Cs1 0.214 0.214 0.188 1
Cs2 0.786 0.786 0.812 1
Tl1 0.000 0.000 0.500 1
Hg1 0.462 0.462 0.827 1
Hg2 0.538 0.538 0.173 1
Cl1 0.173 0.693 0.194 1
Cl2 0.257 0.257 0.603 1
Cl3 0.307 0.827 0.806 1
Cl4 0.693 0.173 0.194 1
Cl5 0.743 0.743 0.397 1
Cl6 0.827 0.307 0.806 1
```

***

# 5
The following is a DFT calculation (PBE) of a geometry-optimized CsTlHg2Cl6 structure.

Output
Symmetry: C2/c, No. 15
V: 813.5 Å³ per cell
VASP energy: -0.1811 Ry/atom

Geometry as CIF:
```
data_CsTlHg2Cl6
_symmetry_space_group_name_H-M 'P 1'
_symmetry_Int_Tables_number 1
_cell_length_a 10.596
_cell_length_b 10.596
_cell_length_c 7.357
_cell_angle_alpha 97.07
_cell_angle_beta 97.07
_cell_angle_gamma 89.32
loop_
_symmetry_equiv_pos_as_xyz
'x,y,z'
loop_
_atom_site_label
_atom_site_fract_x
_atom_site_fract_y
_atom_site_fract_z
_atom_site_occupancy
Cs1 0.130 0.870 0.750 1
Cs2 0.870 0.130 0.250 1
Tl1 0.414 0.586 0.250 1
Tl2 0.586 0.414 0.750 1
Hg1 0.174 0.371 0.804 1
Hg2 0.371 0.174 0.304 1
Hg3 0.629 0.826 0.696 1
Hg4 0.826 0.629 0.196 1
Cl1 0.043 0.187 0.698 1
Cl2 0.167 0.589 0.950 1
Cl3 0.187 0.043 0.198 1
Cl4 0.301 0.396 0.503 1
Cl5 0.396 0.301 0.003 1
Cl6 0.411 0.833 0.550 1
Cl7 0.589 0.167 0.450 1
Cl8 0.604 0.699 0.997 1
Cl9 0.699 0.604 0.497 1
Cl10 0.813 0.957 0.802 1
Cl11 0.833 0.411 0.050 1
Cl12 0.957 0.813 0.302 1
```

***

# 6
The following is a DFT calculation (PBE) of a geometry-optimized Cs2TlHgCl5 structure.

Output
Symmetry: P4/mmm, No. 123
V: 330.8 Å³ per cell
VASP energy: -0.2064 Ry/atom

Geometry as CIF:
```
data_Cs2TlHgCl5
_symmetry_space_group_name_H-M 'P 1'
_symmetry_Int_Tables_number 1
_cell_length_a 5.302
_cell_length_b 5.302
_cell_length_c 11.766
_cell_angle_alpha 90.00
_cell_angle_beta 90.00
_cell_angle_gamma 90.00
loop_
_symmetry_equiv_pos_as_xyz
'x,y,z'
loop_
_atom_site_label
_atom_site_fract_x
_atom_site_fract_y
_atom_site_fract_z
_atom_site_occupancy
Cs1 0.000 0.000 0.213 1
Cs2 0.000 0.000 0.787 1
Tl1 0.500 0.500 0.500 1
Hg1 0.500 0.500 0.000 1
Cl1 0.000 0.000 0.500 1
Cl2 0.000 0.500 0.000 1
Cl3 0.500 0.000 0.000 1
Cl4 0.500 0.500 0.234 1
Cl5 0.500 0.500 0.766 1
```

***

# 7
The following is a DFT calculation (PBE) of a geometry-optimized CsTl3Hg4Cl12 structure.

Output
Symmetry: R32, No. 155
V: 857.6 Å³ per cell
VASP energy: -0.1773 Ry/atom

Geometry as CIF:
```
data_CsTl3Hg4Cl12
_symmetry_space_group_name_H-M 'P 1'
_symmetry_Int_Tables_number 1
_cell_length_a 9.976
_cell_length_b 9.976
_cell_length_c 9.976
_cell_angle_alpha 105.54
_cell_angle_beta 105.54
_cell_angle_gamma 105.54
loop_
_symmetry_equiv_pos_as_xyz
'x,y,z'
loop_
_atom_site_label
_atom_site_fract_x
_atom_site_fract_y
_atom_site_fract_z
_atom_site_occupancy
Cs1 0.000 0.000 0.000 1
Tl1 0.000 0.547 0.453 1
Tl2 0.453 0.000 0.547 1
Tl3 0.547 0.453 0.000 1
Hg1 0.048 0.500 0.952 1
Hg2 0.500 0.500 0.500 1
Hg3 0.500 0.952 0.048 1
Hg4 0.952 0.048 0.500 1
Cl1 0.025 0.655 0.803 1
Cl2 0.109 0.891 0.500 1
Cl3 0.197 0.345 0.975 1
Cl4 0.345 0.975 0.197 1
Cl5 0.346 0.654 0.500 1
Cl6 0.500 0.109 0.891 1
Cl7 0.500 0.346 0.654 1
Cl8 0.654 0.500 0.346 1
Cl9 0.655 0.803 0.025 1
Cl10 0.803 0.025 0.655 1
Cl11 0.891 0.500 0.109 1
Cl12 0.975 0.197 0.345 1
```

***

# 8
The following is a DFT calculation (PBE) of a geometry-optimized Cs2TlHg2Cl7 structure.

Output
Symmetry: I4/mmm, No. 139
V: 401.3 Å³ per cell
VASP energy: -0.1905 Ry/atom

Geometry as CIF:
```
data_Cs2TlHg2Cl7
_symmetry_space_group_name_H-M 'P 1'
_symmetry_Int_Tables_number 1
_cell_length_a 14.175
_cell_length_b 14.175
_cell_length_c 14.175
_cell_angle_alpha 157.94
_cell_angle_beta 157.94
_cell_angle_gamma 31.39
loop_
_symmetry_equiv_pos_as_xyz
'x,y,z'
loop_
_atom_site_label
_atom_site_fract_x
_atom_site_fract_y
_atom_site_fract_z
_atom_site_occupancy
Cs1 0.178 0.178 0.000 1
Cs2 0.822 0.822 0.000 1
Tl1 0.000 0.000 0.000 1
Hg1 0.402 0.402 0.000 1
Hg2 0.598 0.598 0.000 1
Cl1 0.091 0.591 0.500 1
Cl2 0.306 0.306 0.000 1
Cl3 0.409 0.909 0.500 1
Cl4 0.500 0.500 0.000 1
Cl5 0.591 0.091 0.500 1
Cl6 0.694 0.694 0.000 1
Cl7 0.909 0.409 0.500 1
```

***

# 9
The following is a DFT calculation (PBE) of a geometry-optimized Cs3TlHg2Cl8 structure.

Output
Symmetry: P-3m1, No. 164
V: 555.3 Å³ per cell
VASP energy: -0.1997 Ry/atom

Geometry as CIF:
```
data_Cs3TlHg2Cl8
_symmetry_space_group_name_H-M 'P 1'
_symmetry_Int_Tables_number 1
_cell_length_a 7.995
_cell_length_b 7.995
_cell_length_c 10.030
_cell_angle_alpha 90.00
_cell_angle_beta 90.00
_cell_angle_gamma 120.00
loop_
_symmetry_equiv_pos_as_xyz
'x,y,z'
loop_
_atom_site_label
_atom_site_fract_x
_atom_site_fract_y
_atom_site_fract_z
_atom_site_occupancy
Cs1 0.000 0.000 0.000 1
Cs2 0.333 0.667 0.607 1
Cs3 0.667 0.333 0.393 1
Tl1 0.000 0.000 0.500 1
Hg1 0.333 0.667 0.181 1
Hg2 0.667 0.333 0.819 1
Cl1 0.171 0.342 0.307 1
Cl2 0.171 0.829 0.307 1
Cl3 0.333 0.667 0.939 1
Cl4 0.342 0.171 0.693 1
Cl5 0.658 0.829 0.307 1
Cl6 0.667 0.333 0.061 1
Cl7 0.829 0.171 0.693 1
Cl8 0.829 0.658 0.693 1
```

***

# 10
The following is a DFT calculation (PBE) of a geometry-optimized CsTmHgCl6 structure.

Output
Symmetry: P312, No. 149
V: 328.5 Å³ per cell
VASP energy: -0.2601 Ry/atom

Geometry as CIF:
```
data_CsTmHgCl6
_symmetry_space_group_name_H-M 'P 1'
_symmetry_Int_Tables_number 1
_cell_length_a 7.009
_cell_length_b 7.009
_cell_length_c 7.720
_cell_angle_alpha 90.00
_cell_angle_beta 90.00
_cell_angle_gamma 120.00
loop_
_symmetry_equiv_pos_as_xyz
'x,y,z'
loop_
_atom_site_label
_atom_site_fract_x
_atom_site_fract_y
_atom_site_fract_z
_atom_site_occupancy
Cs1 0.000 0.000 0.000 1
Tm1 0.333 0.667 0.500 1
Hg1 0.667 0.333 0.500 1
Cl1 0.011 0.387 0.699 1
Cl2 0.011 0.624 0.301 1
Cl3 0.376 0.387 0.301 1
Cl4 0.376 0.989 0.699 1
Cl5 0.613 0.624 0.699 1
Cl6 0.613 0.989 0.301 1
```